(1)
An optimized crystal structure of Hf2MgScAu, computed with GGA-PBE.

Geometry as CIF:
```
data_Hf2MgScAu
_chemical_formula_sum 'Hf2 Mg1 Sc1 Au1'
_space_group_name_H-M_alt 'P 4/m m m'
_space_group_IT_number 123
_space_group_name_Hall '-P 4 2'
_cell_length_a 5.003
_cell_length_b 5.003
_cell_length_c 5.060
_cell_angle_alpha 90.00
_cell_angle_beta 90.00
_cell_angle_gamma 90.00
loop_
_atom_site_label
_atom_site_fract_x
_atom_site_fract_y
_atom_site_fract_z
Hf1 0.000 0.500 0.000
Mg1 0.000 0.000 0.500
Sc1 0.500 0.500 0.000
Au1 0.500 0.500 0.500
```

Output
size of the total moment: 0.0000 μB/atom
DOS at the Fermi energy: 1.289 states/eV/atom
energy: -0.38701 Ry/atom
energy of formation from the pure elements: 0.957 eV per atom

***

(2)
An optimized crystal structure of AlRh2WAu, computed with GGA-PBE.

Geometry as CIF:
```
data_AlRh2WAu
_chemical_formula_sum 'Al1 Rh2 W1 Au1'
_space_group_name_H-M_alt 'P 4/m m m'
_space_group_IT_number 123
_space_group_name_Hall '-P 4 2'
_cell_length_a 4.372
_cell_length_b 4.372
_cell_length_c 4.679
_cell_angle_alpha 90.00
_cell_angle_beta 90.00
_cell_angle_gamma 90.00
loop_
_atom_site_label
_atom_site_fract_x
_atom_site_fract_y
_atom_site_fract_z
Al1 0.000 0.000 0.000
Rh1 0.000 0.500 0.000
W1 0.000 0.000 0.500
Au1 0.500 0.500 0.500
```

Output
size of the total moment: 0.0001 μB/atom
DOS at the Fermi energy: 1.287 states/eV/atom
energy: -0.43060 Ry/atom
energy of formation from the pure elements: 1.077 eV per atom

***

(3)
An optimized crystal structure of Dy4Cd5Rh2, computed with GGA-PBE.

Geometry as CIF:
```
data_Dy4Cd5Rh2
_chemical_formula_sum 'Dy4 Cd5 Rh2'
_space_group_name_H-M_alt 'P 1 2/m 1'
_space_group_IT_number 10
_cell_length_a 7.726
_cell_length_b 3.615
_cell_length_c 9.530
_cell_angle_alpha 90.00
_cell_angle_beta 93.98
_cell_angle_gamma 90.00
loop_
_space_group_symop_operation_xyz
'x,y,z'
'-x,-y,-z'
'-x,y,-z'
'x,-y,z'
loop_
_atom_site_label
_atom_site_fract_x
_atom_site_fract_y
_atom_site_fract_z
Dy1 0.170 0.000 0.350
Dy2 0.214 0.000 0.944
Cd1 0.186 0.500 0.651
Cd2 0.455 0.500 0.172
Cd3 0.500 0.500 0.500
Rh1 0.076 0.500 0.144
```

Output
size of the total moment: 0.0000 μB/atom
DOS at the Fermi energy: 0.556 states/eV/atom
energy: -0.28907 Ry/atom
energy of formation from the pure elements: -0.507 eV per atom

***

(4)
An optimized crystal structure of Zn2CdO, computed with GGA-PBE.

Geometry as CIF:
```
data_Zn2CdO
_chemical_formula_sum 'Zn8 Cd4 O4'
_space_group_name_H-M_alt 'F m -3 m'
_space_group_IT_number 225
_space_group_name_Hall '-F 4 2 3'
_cell_length_a 6.343
_cell_length_b 6.343
_cell_length_c 6.343
_cell_angle_alpha 90.00
_cell_angle_beta 90.00
_cell_angle_gamma 90.00
loop_
_atom_site_label
_atom_site_fract_x
_atom_site_fract_y
_atom_site_fract_z
Zn1 0.250 0.250 0.250
Cd1 0.000 0.000 0.000
O1 0.000 0.000 0.500
```

Output
ΔE_f (raw): 0.267 eV per atom
size of the total moment: 0.1145 μB/atom
DOS at the Fermi energy: 0.726 states/eV/atom
energy: -0.13515 Ry/atom
polymorph energy (0 for the lowest one): 736 meV/atom

***

(5)
An optimized crystal structure of YWAu2, computed with GGA-PBE.

Geometry as CIF:
```
data_YWAu2
_chemical_formula_sum 'Y4 W4 Au8'
_space_group_name_H-M_alt 'F -4 3 m'
_space_group_IT_number 216
_space_group_name_Hall 'F -4 2 3'
_cell_length_a 6.833
_cell_length_b 6.833
_cell_length_c 6.833
_cell_angle_alpha 90.00
_cell_angle_beta 90.00
_cell_angle_gamma 90.00
loop_
_atom_site_label
_atom_site_fract_x
_atom_site_fract_y
_atom_site_fract_z
Y1 0.000 0.000 0.000
W1 0.250 0.250 0.250
Au1 0.000 0.000 0.500
Au2 0.250 0.250 0.750
```

Output
size of the total moment: 0.7581 μB/atom
DOS at the Fermi energy: 0.152 states/eV/atom
energy: -0.45263 Ry/atom
energy of formation from the pure elements: 0.335 eV per atom
polymorph energy (0 for the lowest one): 269 meV/atom

***

(6)
An optimized crystal structure of ScCdSn, computed with GGA-PBE.

Geometry as CIF:
```
data_ScCdSn
_chemical_formula_sum 'Sc4 Cd4 Sn4'
_space_group_name_H-M_alt 'C m c m'
_space_group_IT_number 63
_space_group_name_Hall '-C 2c 2'
_cell_length_a 4.351
_cell_length_b 15.401
_cell_length_c 4.141
_cell_angle_alpha 90.00
_cell_angle_beta 90.00
_cell_angle_gamma 90.00
loop_
_atom_site_label
_atom_site_fract_x
_atom_site_fract_y
_atom_site_fract_z
Sc1 0.000 0.086 0.250
Cd1 0.000 0.258 0.750
Sn1 0.000 0.424 0.250
```

Output
size of the total moment: 0.0000 μB/atom
DOS at the Fermi energy: 0.544 states/eV/atom
energy: -0.30288 Ry/atom
energy of formation from the pure elements: -0.371 eV per atom